Computed, not measured: an optimized crystal structure of Nd2CoO4 at the PBE+U level of DFT.

```
data_Nd2CoO4
_chemical_formula_sum 'Nd4 Co2 O8'
_symmetry_space_group_name_H-M 'P 1'
_symmetry_Int_Tables_number 1
_symmetry_space_group_name_Hall 'P 1'
_cell_length_a 7.087
_cell_length_b 7.087
_cell_length_c 10.092
_cell_angle_alpha 119.61
_cell_angle_beta 119.61
_cell_angle_gamma 30.11
loop_
_atom_site_label
_atom_site_type_symbol
_atom_site_fract_x
_atom_site_fract_y
_atom_site_fract_z
Nd1 Nd 0.112 0.112 0.448
Nd2 Nd 0.344 0.344 0.182
Nd3 Nd 0.656 0.656 0.818
Nd4 Nd 0.888 0.888 0.552
Co1 Co 0.334 0.334 0.772
Co2 Co 0.666 0.666 0.228
O1 O 0.082 0.082 0.655
O2 O 0.250 0.250 0.356
O3 O 0.299 0.299 0.929
O4 O 0.452 0.452 0.721
O5 O 0.548 0.548 0.279
O6 O 0.701 0.701 0.071
O7 O 0.750 0.750 0.644
O8 O 0.918 0.918 0.345
```

- total magnetization (μB per formula unit) = 3.0
- energy above the lowest structure with this stoichiometry (meV per atom) = 0